VASP calculation (PBE+U) on crystalline Na2Ac2CrO6 at its relaxed geometry.

Unit cell a=6.161 b=6.161 c=5.858 alpha=95.24 beta=95.24 gamma=119.49
Last column: magnetic moment on the atom in μB.
Atoms (fractional coordinates):
O 0.781 0.781 0.698  -0.05
O 0.685 0.973 0.316  -0.03
Na 0.125 0.875 0.000  0.00
O 0.027 0.315 0.684  -0.03
O 0.219 0.219 0.302  -0.05
Na 0.875 0.125 0.000  0.00
Cr 0.000 0.000 0.500  2.19
Ac 0.663 0.337 0.500  0.00
O 0.315 0.027 0.684  -0.03
O 0.973 0.685 0.316  -0.03
Ac 0.337 0.663 0.500  0.00

- total energy (eV/atom) = -6.6086
- magnetic moment (μB/f.u.) = 1.982
- space-group type = C2/m



VASP calculation (PBE+U) on crystalline NaAc3Cr2O9 at its relaxed geometry.

Unit cell a=5.655 b=5.655 c=6.960 alpha=90.00 beta=90.00 gamma=120.00
Last column: magnetic moment on the atom in μB.
Atoms (fractional coordinates):
Cr 0.333 0.667 0.165  2.22
O 0.500 0.500 0.000  -0.05
O 0.176 0.353 0.317  -0.06
O 0.824 0.647 0.683  -0.06
O 0.000 0.500 0.000  -0.05
O 0.824 0.176 0.683  -0.06
Ac 0.667 0.333 0.339  0.01
O 0.500 0.000 0.000  -0.05
Cr 0.667 0.333 0.835  2.22
O 0.176 0.824 0.317  -0.06
Ac 0.000 0.000 0.000  0.01
Ac 0.333 0.667 0.661  0.01
O 0.647 0.824 0.317  -0.06
O 0.353 0.176 0.683  -0.06
Na 0.000 0.000 0.500  -0.01

- total energy (eV/atom) = -7.3686
- magnetic moment (μB/f.u.) = 4.000
- space-group type = P-3m1



VASP calculation (PBE+U) on crystalline NaAcCrO5 at its relaxed geometry.

Unit cell a=6.498 b=6.498 c=8.560 alpha=107.77 beta=107.77 gamma=94.85
Last column: magnetic moment on the atom in μB.
Atoms (fractional coordinates):
Ac 0.000 0.000 0.000  0.00
Cr 0.360 0.640 0.750  -0.07
O 0.366 0.297 0.150  0.01
O 0.765 0.285 0.104  0.01
O 0.703 0.634 0.350  0.01
O 0.297 0.366 0.650  0.01
Cr 0.640 0.360 0.250  -0.07
Ac 0.000 0.000 0.500  0.00
O 0.096 0.904 0.250  0.00
Na 0.676 0.324 0.750  0.00
O 0.235 0.715 0.896  0.01
O 0.285 0.765 0.604  0.01
Na 0.324 0.676 0.250  0.00
O 0.904 0.096 0.750  0.00
O 0.715 0.235 0.396  0.01
O 0.634 0.703 0.850  0.01

- total energy (eV/atom) = -6.7339
- magnetic moment (μB/f.u.) = 0.042
- space-group type = C2/c